First-principles (PBE+U) data for an optimized crystal structure of Na4Cr3RuO8, as listed in Alexandria via LeMat-Bulk.

Total magnetization ... 30.04 μB per cell
Calculated density ... 4.5 g/cm3
E_tot ... -6.491 eV/atom

a = 6.1267 Å, b = 6.1267 Å, c = 16.0791 Å
α = 90.00°, β = 90.00°, γ = 120.00°
Space group R-3m (No. 166, hexagonal axes)
One atom of each set of equivalent atoms:
Na1 0.0000 0.0000 0.0000 (multiplicity 3)
Na2 0.0000 0.5000 0.0000 (multiplicity 9)
Cr1 0.0000 0.5000 0.5000 (multiplicity 9)
Ru1 0.0000 0.0000 0.5000 (multiplicity 3)
O1 0.0000 0.0000 0.2327 (multiplicity 6)
O2 0.0074 0.5037 0.7665 (multiplicity 18)